## YZn2IrF (GGA-PBE)

Data for YZn2IrF after structural relaxation.

Computed properties:
Spin magnetization, μB per cell: 0.00
Energy relative to the elements, uncorrected, meV per atom: -613.4
Final energy, eV/atom: -4.562

Unit cell a=4.7724 b=4.7724 c=5.2630 alpha=90.00 beta=90.00 gamma=90.00
Fractional positions:
Y  0.0000  0.0000  0.0000
Zn  0.0000  0.5000  0.5000
Zn  0.5000  0.0000  0.5000
Ir  0.0000  0.0000  0.5000
F  0.5000  0.5000  0.0000

---

## MgCr (GGA-PBE)

Data for MgCr after structural relaxation.

Computed properties:
Spin magnetization, μB per cell: 7.42
Distance to the lowest polymorph of the same formula, meV per atom: 395
Final energy, eV/atom: -4.969

Unit cell a=3.0822 b=4.8338 c=4.9699 alpha=90.00 beta=90.00 gamma=90.00
Fractional positions:
Mg  0.2500  0.2500  0.0851
Mg  0.7500  0.7500  0.9149
Cr  0.2500  0.7500  0.4241
Cr  0.7500  0.2500  0.5759

---

## LaSn4Rh4 (GGA-PBE)

Data for LaSn4Rh4 after structural relaxation.

Computed properties:
Spin magnetization, μB per cell: 0.00
Final energy, eV/atom: -6.045

Unit cell a=8.8962 b=8.8962 c=5.1604 alpha=90.00 beta=90.00 gamma=90.00
Fractional positions:
La  0.2500  0.2500  0.2500
La  0.7500  0.7500  0.7500
Sn  0.1069  0.6518  0.2477
Sn  0.1518  0.8931  0.7477
Sn  0.3482  0.6069  0.7477
Sn  0.3931  0.8482  0.2477
Sn  0.6069  0.1518  0.7523
Sn  0.6518  0.3931  0.2523
Sn  0.8482  0.1069  0.2523
Sn  0.8931  0.3482  0.7523
Rh  0.0423  0.6000  0.7476
Rh  0.1000  0.9577  0.2476
Rh  0.4000  0.5423  0.2476
Rh  0.4577  0.9000  0.7476
Rh  0.5423  0.1000  0.2524
Rh  0.6000  0.4577  0.7524
Rh  0.9000  0.0423  0.7524
Rh  0.9577  0.4000  0.2524

---

## NaCa2Pb2 (GGA-PBE)

Data for NaCa2Pb2 after structural relaxation.

Computed properties:
Spin magnetization, μB per cell: 0.00
Distance to the lowest polymorph of the same formula, meV per atom: 329
Final energy, eV/atom: -2.622

Unit cell a=9.2619 b=9.2619 c=9.2619 alpha=150.91 beta=150.91 gamma=41.61
Fractional positions:
Na  0.0000  0.0000  0.0000
Ca  0.3873  0.3873  0.0000
Ca  0.6127  0.6127  0.0000
Pb  0.2500  0.7500  0.5000
Pb  0.7500  0.2500  0.5000

---

## CoAgS4 (GGA-PBE)

Data for CoAgS4 after structural relaxation.

Computed properties:
Spin magnetization, μB per cell: 0.00
Energy relative to the elements, uncorrected, meV per atom: 6.6
Final energy, eV/atom: -4.405

Unit cell a=5.9823 b=7.1542 c=7.8717 alpha=77.52 beta=68.24 gamma=66.55
Fractional positions:
Co  0.1960  0.4844  0.2801
Co  0.8040  0.5156  0.7199
Ag  0.1298  0.6722  0.7351
Ag  0.8702  0.3278  0.2649
S  0.1433  0.6945  0.0387
S  0.1684  0.2893  0.5458
S  0.1700  0.7575  0.4095
S  0.4496  0.7517  0.8292
S  0.5504  0.2483  0.1708
S  0.8300  0.2425  0.5905
S  0.8316  0.7107  0.4542
S  0.8567  0.3055  0.9613

---

## Ac2Zn6NiPd (GGA-PBE)

Data for Ac2Zn6NiPd after structural relaxation.

Computed properties:
Spin magnetization, μB per cell: 0.00
Final energy, eV/atom: -2.973

Unit cell a=6.7575 b=6.7575 c=6.7575 alpha=120.09 beta=119.91 gamma=90.00
Fractional positions:
Ac  0.2500  0.2500  0.0000
Ac  0.7500  0.7500  0.0000
Zn  0.2575  0.2425  0.4999
Zn  0.2575  0.7575  0.0150
Zn  0.2575  0.7575  0.5000
Zn  0.7425  0.2425  0.5000
Zn  0.7425  0.2425  0.9850
Zn  0.7425  0.7575  0.5001
Ni  0.5000  0.0000  0.5000
Pd  0.0000  0.5000  0.5000

---

## CsNbRu3 (GGA-PBE)

Data for CsNbRu3 after structural relaxation.

Computed properties:
Spin magnetization, μB per cell: 3.31
Distance to the lowest polymorph of the same formula, meV per atom: 0
Final energy, eV/atom: -6.187

Unit cell a=4.9451 b=4.9451 c=4.9451 alpha=90.00 beta=90.00 gamma=90.00
Fractional positions:
Cs  0.0000  0.0000  0.0000
Nb  0.5000  0.5000  0.5000
Ru  0.0000  0.5000  0.5000
Ru  0.5000  0.0000  0.5000
Ru  0.5000  0.5000  0.0000

---

## TlCr2Cl (GGA-PBE)

Data for TlCr2Cl after structural relaxation.

Computed properties:
Spin magnetization, μB per cell: 18.14
Energy relative to the elements, uncorrected, meV per atom: 522.3
Distance to the lowest polymorph of the same formula, meV per atom: 390
Final energy, eV/atom: -5.343

Unit cell a=6.1455 b=6.1455 c=6.1455 alpha=106.70 beta=106.70 gamma=115.17
Fractional positions:
Tl  0.0000  0.0000  0.0000
Tl  0.7500  0.2500  0.5000
Cr  0.1597  0.6250  0.0347
Cr  0.3750  0.4097  0.5347
Cr  0.5903  0.1250  0.9653
Cr  0.8750  0.8403  0.4653
Cl  0.2500  0.7500  0.5000
Cl  0.5000  0.5000  0.0000

---

## TbPrBr3 (GGA-PBE)

Data for TbPrBr3 after structural relaxation.

Computed properties:
Spin magnetization, μB per cell: 0.00
Energy relative to the elements, uncorrected, meV per atom: -1518.2
Final energy, eV/atom: -4.404

Unit cell a=9.4075 b=9.4075 c=11.6783 alpha=122.66 beta=122.66 gamma=24.51
Fractional positions:
Tb  0.0735  0.0735  0.4575
Tb  0.9265  0.9265  0.5425
Pr  0.3613  0.3613  0.2129
Pr  0.6387  0.6387  0.7871
Br  0.1628  0.1628  0.0082
Br  0.2875  0.2875  0.3848
Br  0.4628  0.4628  0.7496
Br  0.5372  0.5372  0.2504
Br  0.7125  0.7125  0.6152
Br  0.8372  0.8372  0.9918

---

## MgTlPb2 (GGA-PBE)

Data for MgTlPb2 after structural relaxation.

Computed properties:
Spin magnetization, μB per cell: 0.00
Final energy, eV/atom: -2.845

Unit cell a=6.3684 b=6.3684 c=5.8314 alpha=107.00 beta=107.00 gamma=30.83
Fractional positions:
Mg  0.0000  0.0000  0.0000
Tl  0.5000  0.5000  0.5000
Pb  0.2656  0.2656  0.7618
Pb  0.7344  0.7344  0.2382

---

## LaDy2YTm2 (GGA-PBE)

Data for LaDy2YTm2 after structural relaxation.

Computed properties:
Spin magnetization, μB per cell: 0.00
Final energy, eV/atom: -4.854

Unit cell a=6.9414 b=9.8162 c=5.6234 alpha=90.00 beta=90.00 gamma=90.00
Fractional positions:
La  0.0000  0.0000  0.0000
La  0.5000  0.5000  0.5000
Dy  0.2480  0.3333  0.0000
Dy  0.2520  0.8333  0.5000
Dy  0.7480  0.1667  0.5000
Dy  0.7520  0.6667  0.0000
Y  0.0000  0.5000  0.5000
Y  0.5000  0.0000  0.0000
Tm  0.2487  0.6666  0.0000
Tm  0.2513  0.1666  0.5000
Tm  0.7487  0.8334  0.5000
Tm  0.7513  0.3334  0.0000

---

## LiZr2P (GGA-PBE)

Data for LiZr2P after structural relaxation.

Computed properties:
Spin magnetization, μB per cell: 0.00
Final energy, eV/atom: -5.994

Unit cell a=4.6407 b=4.6407 c=4.6407 alpha=60.00 beta=60.00 gamma=60.00
Fractional positions:
Li  0.0000  0.0000  0.0000
Zr  0.5000  0.5000  0.5000
Zr  0.7500  0.7500  0.7500
P  0.2500  0.2500  0.2500

---

## La2HPb (GGA-PBE)

Data for La2HPb after structural relaxation.

Computed properties:
Spin magnetization, μB per cell: 0.00
Final energy, eV/atom: -4.763

Unit cell a=9.2529 b=9.2529 c=4.4548 alpha=90.00 beta=90.00 gamma=148.07
Fractional positions:
La  0.0000  0.0000  0.0000
La  0.1847  0.8153  0.5000
La  0.5000  0.5000  0.5000
La  0.8153  0.1847  0.5000
H  0.0552  0.9448  0.5000
H  0.9448  0.0552  0.5000
Pb  0.3522  0.6478  0.0000
Pb  0.6478  0.3522  0.0000

---

## PmGe2Au (GGA-PBE)

Data for PmGe2Au after structural relaxation.

Computed properties:
Spin magnetization, μB per cell: 0.00
Distance to the lowest polymorph of the same formula, meV per atom: 0
Final energy, eV/atom: -4.886

Unit cell a=9.2708 b=9.2708 c=4.6455 alpha=90.00 beta=90.00 gamma=154.16
Fractional positions:
Pm  0.0998  0.9002  0.7500
Pm  0.9002  0.0998  0.2500
Ge  0.2578  0.7422  0.2500
Ge  0.4722  0.5278  0.7500
Ge  0.5278  0.4722  0.2500
Ge  0.7422  0.2578  0.7500
Au  0.3330  0.6670  0.7500
Au  0.6670  0.3330  0.2500

---

## ZnWBr2 (GGA-PBE)

Data for ZnWBr2 after structural relaxation.

Computed properties:
Spin magnetization, μB per cell: 4.27
Energy relative to the elements, uncorrected, meV per atom: 1086.4
Distance to the lowest polymorph of the same formula, meV per atom: 938
Final energy, eV/atom: -3.307

Unit cell a=6.9459 b=6.9459 c=6.9459 alpha=146.99 beta=146.99 gamma=47.37
Fractional positions:
Zn  0.0000  0.0000  0.0000
W  0.7500  0.2500  0.5000
Br  0.2500  0.7500  0.5000
Br  0.5000  0.5000  0.0000

---

## Er6CuS5 (GGA-PBE)

Data for Er6CuS5 after structural relaxation.

Computed properties:
Spin magnetization, μB per cell: 0.00
Energy relative to the elements, uncorrected, meV per atom: -1680.1
Final energy, eV/atom: -6.023

Unit cell a=6.7432 b=6.7432 c=6.7298 alpha=99.66 beta=99.66 gamma=120.04
Fractional positions:
Er  0.0813  0.4131  0.2467
Er  0.2477  0.2477  0.7508
Er  0.4131  0.0813  0.2467
Er  0.5869  0.9187  0.7533
Er  0.7523  0.7523  0.2492
Er  0.9187  0.5869  0.7533
Cu  0.0000  0.0000  0.0000
S  0.1707  0.8293  0.5000
S  0.3347  0.6653  0.0000
S  0.5000  0.5000  0.5000
S  0.6653  0.3347  0.0000
S  0.8293  0.1707  0.5000

---

## KBeSi2 (GGA-PBE)

Data for KBeSi2 after structural relaxation.

Computed properties:
Spin magnetization, μB per cell: 0.00
Energy relative to the elements, uncorrected, meV per atom: 520.3
Final energy, eV/atom: -3.397

Unit cell a=6.0097 b=6.0097 c=6.0097 alpha=154.86 beta=118.62 gamma=67.40
Fractional positions:
K  0.0000  0.0000  0.0000
Be  0.5000  0.5000  0.0000
Si  0.3084  0.8084  0.5000
Si  0.6916  0.1916  0.5000

---

## Na2HfAg2Te4 (GGA-PBE)

Data for Na2HfAg2Te4 after structural relaxation.

Computed properties:
Spin magnetization, μB per cell: 0.00
Energy relative to the elements, uncorrected, meV per atom: -601.4
Final energy, eV/atom: -4.030

Unit cell a=8.3583 b=8.3583 c=8.0692 alpha=114.30 beta=114.30 gamma=29.53
Fractional positions:
Na  0.1385  0.1385  0.0887
Na  0.8615  0.8615  0.9113
Hf  0.0000  0.0000  0.5000
Ag  0.3162  0.3162  0.5263
Ag  0.6838  0.6838  0.4737
Te  0.1992  0.1992  0.7220
Te  0.4977  0.4977  0.2441
Te  0.5023  0.5023  0.7559
Te  0.8008  0.8008  0.2780

---

## CsLi2Th2Te6 (GGA-PBE)

Data for CsLi2Th2Te6 after structural relaxation.

Computed properties:
Spin magnetization, μB per cell: 0.00
Energy relative to the elements, uncorrected, meV per atom: -1018.4
Final energy, eV/atom: -4.507

Unit cell a=7.4181 b=8.2660 c=8.3532 alpha=60.50 beta=89.48 gamma=80.10
Fractional positions:
Cs  0.0000  0.0000  0.0000
Li  0.4919  0.5820  0.6709
Li  0.5081  0.4180  0.3291
Th  0.0088  0.3218  0.3473
Th  0.9912  0.6782  0.6527
Te  0.2515  0.5250  0.0157
Te  0.2587  0.9407  0.4376
Te  0.2650  0.3618  0.6125
Te  0.7350  0.6382  0.3875
Te  0.7413  0.0593  0.5624
Te  0.7485  0.4750  0.9843

---

## Th3Sn5Se12 (GGA-PBE)

Data for Th3Sn5Se12 after structural relaxation.

Computed properties:
Spin magnetization, μB per cell: 0.00
Energy relative to the elements, uncorrected, meV per atom: -860.5
Final energy, eV/atom: -5.065

Unit cell a=14.7202 b=14.7202 c=14.7202 alpha=109.47 beta=109.47 gamma=109.47
Fractional positions:
Th  0.1250  0.2500  0.3750
Th  0.1250  0.3750  0.7500
Th  0.2500  0.3750  0.1250
Th  0.2500  0.8750  0.6250
Th  0.3750  0.1250  0.2500
Th  0.3750  0.7500  0.1250
Th  0.6250  0.2500  0.8750
Th  0.6250  0.8750  0.7500
Th  0.7500  0.1250  0.3750
Th  0.7500  0.6250  0.8750
Th  0.8750  0.6250  0.2500
Th  0.8750  0.7500  0.6250
Sn  0.0000  0.0000  0.0000
Sn  0.0000  0.0000  0.5000
Sn  0.0000  0.5000  0.0000
Sn  0.0000  0.5000  0.5000
Sn  0.1250  0.7500  0.8750
Sn  0.1250  0.8750  0.2500
Sn  0.2500  0.1250  0.8750
Sn  0.2500  0.6250  0.3750
Sn  0.3750  0.2500  0.6250
Sn  0.3750  0.6250  0.7500
Sn  0.5000  0.0000  0.0000
Sn  0.5000  0.0000  0.5000
Sn  0.5000  0.5000  0.0000
Sn  0.5000  0.5000  0.5000
Sn  0.6250  0.3750  0.2500
Sn  0.6250  0.7500  0.3750
Sn  0.7500  0.3750  0.6250
Sn  0.7500  0.8750  0.1250
Sn  0.8750  0.1250  0.7500
Sn  0.8750  0.2500  0.1250
Se  0.0554  0.2241  0.1399
Se  0.0554  0.3314  0.9155
Se  0.0845  0.6399  0.4159
Se  0.0841  0.7241  0.6686
Se  0.0841  0.8601  0.4155
Se  0.0845  0.9446  0.6686
Se  0.1399  0.0554  0.2241
Se  0.1399  0.5845  0.9159
Se  0.1686  0.2241  0.5841
Se  0.1686  0.4446  0.5845
Se  0.2241  0.1399  0.0554
Se  0.2241  0.5841  0.1686
Se  0.2759  0.3314  0.9159
Se  0.2759  0.4446  0.3601
Se  0.3314  0.9155  0.0554
Se  0.3314  0.9159  0.2759
Se  0.3601  0.2759  0.4446
Se  0.3601  0.5841  0.9155
Se  0.4159  0.0845  0.6399
Se  0.4155  0.0841  0.8601
Se  0.4155  0.8314  0.5554
Se  0.4159  0.8314  0.7759
Se  0.4446  0.3601  0.2759
Se  0.4446  0.5845  0.1686
Se  0.5554  0.4155  0.8314
Se  0.5554  0.6399  0.7241
Se  0.5841  0.1686  0.2241
Se  0.5845  0.1686  0.4446
Se  0.5845  0.9159  0.1399
Se  0.5841  0.9155  0.3601
Se  0.6399  0.4159  0.0845
Se  0.6399  0.7241  0.5554
Se  0.6686  0.0841  0.7241
Se  0.6686  0.0845  0.9446
Se  0.7241  0.5554  0.6399
Se  0.7241  0.6686  0.0841
Se  0.7759  0.4159  0.8314
Se  0.7759  0.8601  0.9446
Se  0.8314  0.5554  0.4155
Se  0.8314  0.7759  0.4159
Se  0.8601  0.4155  0.0841
Se  0.8601  0.9446  0.7759
Se  0.9155  0.0554  0.3314
Se  0.9159  0.1399  0.5845
Se  0.9159  0.2759  0.3314
Se  0.9155  0.3601  0.5841
Se  0.9446  0.6686  0.0845
Se  0.9446  0.7759  0.8601

---

## Tm3Cd2Sn (GGA-PBE)

Data for Tm3Cd2Sn after structural relaxation.

Computed properties:
Spin magnetization, μB per cell: 0.00
Distance to the lowest polymorph of the same formula, meV per atom: 5
Final energy, eV/atom: -3.627

Unit cell a=8.2861 b=8.2861 c=3.7129 alpha=90.00 beta=90.00 gamma=143.41
Fractional positions:
Tm  0.0000  0.0000  0.0000
Tm  0.3352  0.6648  0.0000
Tm  0.6648  0.3352  0.0000
Cd  0.1754  0.8246  0.5000
Cd  0.8246  0.1754  0.5000
Sn  0.5000  0.5000  0.5000